[1]
Material: LaCr2Cl
Method: DFT, GGA-PBEsol
State: optimized geometry

Cell: 4.8922 4.8922 4.8922 Å, 128.70 109.38 92.46°
With the nearest neighbours (Å) after each atom.
Fractional coordinates of all 4 atoms:
La 0.0000 0.0000 0.0000  4 Cr 2.99-3.10, 4 Cl 3.02-3.08
Cr 0.4974 0.4974 0.0000  2 Cl 2.44, 2 Cr 2.48
Cr 0.6874 0.1874 0.5000  2 Cr 2.48, 1 Cl 2.49
Cl 0.3189 0.8189 0.5000  3 Cr 2.44-2.49

The total magnetization comes out at 0.05 μB/cell. The uncorrected formation energy is 5.12 kcal/mol of atoms. The energy above the lowest structure with this stoichiometry comes out at 0.000 eV/atom. The density is 5.70 g cm⁻³.

---

[2]
Material: LaCrP2Cl
Method: DFT, GGA-PBEsol
State: optimized geometry

Cell: 4.5009 4.5009 4.7451 Å, 90.00 90.00 90.00°
With the nearest neighbours (Å) after each atom.
Fractional coordinates of all 5 atoms:
La 0.0000 0.0000 0.0000  4 Cl 3.18, 8 P 3.27
Cr 0.5000 0.5000 0.5000  4 P 2.25, 2 Cl 2.37
P 0.0000 0.5000 0.5000  2 Cr 2.25
P 0.5000 0.0000 0.5000  2 Cr 2.25
Cl 0.5000 0.5000 0.0000  2 Cr 2.37

The total magnetization comes out at 2.08 μB/cell. The uncorrected formation energy is -16.37 kcal/mol of atoms. The density is 4.98 g cm⁻³.